The following is a DFT calculation (GGA-PBE) of a geometry-optimized Ac2Ga3AgGe4 structure.

Unit cell a=4.806 b=4.806 c=9.786 alpha=90.00 beta=90.00 gamma=90.00
Space group P-4m2 (No. 115)
Symmetry-distinct sites (fractional):
Ac 0.000 0.500 0.249 [2 per cell]
Ga 0.000 0.000 0.000 [1 per cell]
Ga 0.000 0.500 0.612 [2 per cell]
Ag 0.500 0.500 0.000 [1 per cell]
Ge 0.000 0.000 0.500 [1 per cell]
Ge 0.000 0.500 0.870 [2 per cell]
Ge 0.500 0.500 0.500 [1 per cell]

VASP energy: -4.25 eV per atom

=====

The following is a DFT calculation (GGA-PBE) of a geometry-optimized YPa3 structure.

Unit cell a=4.691 b=4.691 c=9.492 alpha=90.00 beta=90.00 gamma=90.00
Space group I4/mmm (No. 139)
Symmetry-distinct sites (fractional):
Y 0.000 0.000 0.000 [2 per cell]
Pa 0.000 0.000 0.500 [2 per cell]
Pa 0.000 0.500 0.250 [4 per cell]

energy above the lowest structure with this stoichiometry: 0 meV/atom

=====

The following is a DFT calculation (GGA-PBE) of a geometry-optimized Ba2PdRhC structure.

Unit cell a=5.861 b=5.861 c=3.865 alpha=90.00 beta=90.00 gamma=90.00
Space group P4/mmm (No. 123)
Symmetry-distinct sites (fractional):
Ba 0.000 0.500 0.000 [2 per cell]
Pd 0.000 0.000 0.500 [1 per cell]
Rh 0.500 0.500 0.500 [1 per cell]
C 0.500 0.500 0.000 [1 per cell]

VASP energy: -5.18 eV per atom

=====

The following is a DFT calculation (GGA-PBE) of a geometry-optimized RbSmWN3 structure.

Unit cell a=13.789 b=3.940 c=8.346 alpha=90.00 beta=104.59 gamma=90.00
Space group C2/m (No. 12)
Symmetry-distinct sites (fractional):
Rb 0.143 0.000 0.066 [4 per cell]
Sm 0.163 0.000 0.589 [4 per cell]
W 0.009 0.500 0.333 [4 per cell]
N 0.013 0.000 0.351 [4 per cell]
N 0.131 0.500 0.775 [4 per cell]
N 0.158 0.500 0.366 [4 per cell]

energy relative to the elements, uncorrected: -0.569 eV per atom

=====

The following is a DFT calculation (GGA-PBE) of a geometry-optimized LiTi2Zn structure.

Unit cell a=2.7245 b=2.7245 c=31.0616 alpha=90.00 beta=90.00 gamma=120.00
Space group R-3m (No. 166, hexagonal axes)
Symmetry-distinct sites (fractional):
Li 0.0000 0.0000 0.0000 [3 per cell]
Ti 0.0000 0.0000 0.0895 [6 per cell]
Zn 0.0000 0.0000 0.5000 [3 per cell]

VASP energy: -4.58 eV per atom

=====

The following is a DFT calculation (GGA-PBE) of a geometry-optimized K2SrPt9 structure.

Unit cell a=5.5237 b=5.5237 c=26.7777 alpha=90.00 beta=90.00 gamma=120.00
Space group R-3m (No. 166, hexagonal axes)
Symmetry-distinct sites (fractional):
K 0.0000 0.0000 0.1441 [6 per cell]
Sr 0.0000 0.0000 0.0000 [3 per cell]
Pt 0.0000 0.0000 0.3319 [6 per cell]
Pt 0.0000 0.0000 0.5000 [3 per cell]
Pt 0.0009 0.5004 0.0813 [18 per cell]

VASP energy: -5.19 eV per atom

=====

The following is a DFT calculation (GGA-PBE) of a geometry-optimized CaPm6Pr structure.

Unit cell a=5.215 b=5.215 c=10.368 alpha=90.00 beta=90.00 gamma=90.00
Space group P4/mmm (No. 123)
Symmetry-distinct sites (fractional):
Ca 0.000 0.000 0.000 [1 per cell]
Pm 0.000 0.500 0.255 [4 per cell]
Pm 0.500 0.500 0.000 [1 per cell]
Pm 0.500 0.500 0.500 [1 per cell]
Pr 0.000 0.000 0.500 [1 per cell]

VASP energy: -4.36 eV per atom

=====

The following is a DFT calculation (GGA-PBE) of a geometry-optimized NdHoEr4S8 structure.

Unit cell a=8.0354 b=8.0354 c=19.7111 alpha=90.00 beta=90.00 gamma=120.00
Space group R3m (No. 160, hexagonal axes)
Symmetry-distinct sites (fractional):
Nd 0.0000 0.0000 0.0000 [3 per cell]
Ho 0.0000 0.0000 0.3754 [3 per cell]
Er 0.0000 0.0000 0.7496 [3 per cell]
Er 0.1676 0.3353 0.2078 [9 per cell]
S 0.0000 0.0000 0.1368 [3 per cell]
S 0.0000 0.0000 0.6176 [3 per cell]
S 0.0178 0.5089 0.1274 [9 per cell]
S 0.1820 0.3639 0.9537 [9 per cell]

energy relative to the elements, uncorrected: -1.920 eV per atom

=====

The following is a DFT calculation (GGA-PBE) of a geometry-optimized LaZn2P structure.

Unit cell a=6.938 b=6.938 c=6.938 alpha=90.00 beta=90.00 gamma=90.00
Space group F-43m (No. 216)
Symmetry-distinct sites (fractional):
La 0.000 0.000 0.000 [4 per cell]
Zn 0.000 0.000 0.500 [4 per cell]
Zn 0.250 0.250 0.750 [4 per cell]
P 0.250 0.250 0.250 [4 per cell]

VASP energy: -3.53 eV per atom

=====

The following is a DFT calculation (GGA-PBE) of a geometry-optimized CeSi2Ni2Os structure.

Unit cell a=4.576 b=4.576 c=5.219 alpha=90.00 beta=90.00 gamma=90.00
Space group P4/mmm (No. 123)
Symmetry-distinct sites (fractional):
Ce 0.000 0.000 0.000 [1 per cell]
Si 0.000 0.500 0.500 [2 per cell]
Ni 0.500 0.500 0.252 [2 per cell]
Os 0.000 0.000 0.500 [1 per cell]

energy relative to the elements, uncorrected: -0.004 eV per atom

=====

The following is a DFT calculation (GGA-PBE) of a geometry-optimized TlMoI2N structure.

Unit cell a=5.936 b=5.936 c=3.899 alpha=90.00 beta=90.00 gamma=90.00
Space group P4/mmm (No. 123)
Symmetry-distinct sites (fractional):
Tl 0.000 0.000 0.000 [1 per cell]
Mo 0.500 0.500 0.500 [1 per cell]
I 0.000 0.500 0.500 [2 per cell]
N 0.500 0.500 0.000 [1 per cell]

energy relative to the elements, uncorrected: 0.051 eV per atom
energy above the lowest structure with this stoichiometry: 0 meV/atom

=====

The following is a DFT calculation (GGA-PBE) of a geometry-optimized KHg2Mo structure.

Unit cell a=3.859 b=3.859 c=7.900 alpha=90.00 beta=90.00 gamma=90.00
Space group P4mm (No. 99)
Symmetry-distinct sites (fractional):
K 0.000 0.000 0.000 [1 per cell]
Hg 0.000 0.000 0.438 [1 per cell]
Hg 0.500 0.500 0.716 [1 per cell]
Mo 0.500 0.500 0.352 [1 per cell]

energy above the lowest structure with this stoichiometry: 176 meV/atom